[1]
BaMnI4 | PBE | optimized geometry

For the formation energy (no corrections), the calculation gives -1.09 eV/atom. Its density of states at the Fermi level is 0.00 states/eV/cell.

The structure belongs to space group I4_1/amd (No. 141, origin choice 2); the cell edges are 11.1801, 11.1801 and 9.4917 Å and the angles 90.00°, 90.00° and 90.00°. Symmetry generates all atoms from Ba at (0.0000, 0.2500, 0.3750), Mn at (0.0000, 0.2500, 0.8750) and I at (0.0000, 0.0667, 0.6913).

---

[2]
BaMn2I | PBE | optimized geometry

For the formation energy (no corrections), the calculation gives 0.46 eV/atom. Its density of states at the Fermi level is 22.31 states/eV/cell. The value obtained for the energy above the most stable polymorph in this dataset is 0 meV per atom.

The structure belongs to space group I-42d (No. 122); the cell edges are 5.0334, 5.0334 and 20.5678 Å and the angles 90.00°, 90.00° and 90.00°. Symmetry generates all atoms from Ba at (0.0000, 0.0000, 0.0000), Mn at (0.0010, 0.2500, 0.6250) and I at (0.0000, 0.0000, 0.5000).

---

[3]
BaNaMn2I8 | PBE | optimized geometry

For the formation energy (no corrections), the calculation gives -0.79 eV/atom. Its density of states at the Fermi level is 8.81 states/eV/cell.

The structure belongs to space group P-3 (No. 147); the cell edges are 7.5225, 7.5225 and 10.6495 Å and the angles 90.00°, 90.00° and 120.00°. Symmetry generates all atoms from Ba at (0.0000, 0.0000, 0.0000), Na at (0.0000, 0.0000, 0.5000), Mn at (0.3333, 0.6667, 0.7655), I at (0.0061, 0.3116, 0.7100) and I at (0.3333, 0.6667, 0.0119).

---

Question: Look up the formation energy (no corrections) of the second one.
Answer: 0.46 eV/atom